[1]
Material: ZrTl2Mo
Method: DFT, PBE
State: relaxed

```
ZrTl2Mo
1.0
3.689 0.000 0.000
0.000 4.879 0.000
0.000 0.000 9.496
Zr Tl Mo
2 4 2
Direct
0.000 0.000 0.000
0.500 0.500 0.000
0.000 0.500 0.262
0.000 0.500 0.738
0.500 0.000 0.262
0.500 0.000 0.738
0.000 0.000 0.500
0.500 0.500 0.500
```

ΔE to the lowest computed polymorph in eV per atom: 0.154
Space-group type: Cmmm (65)
Formation energy from the elements in eV per formula unit: 1.92


[2]
Material: Nb2Ru2Rh
Method: DFT, PBE
State: relaxed

```
Nb2Ru2Rh
1.0
4.243 0.000 0.000
-2.122 3.675 0.000
0.000 0.000 10.653
Nb Ru Rh
4 4 2
Direct
0.333 0.667 0.101
0.333 0.667 0.399
0.667 0.333 0.601
0.667 0.333 0.899
0.000 0.000 0.000
0.000 0.000 0.500
0.333 0.667 0.750
0.667 0.333 0.250
0.000 0.000 0.250
0.000 0.000 0.750
```

ΔE to the lowest computed polymorph in eV per atom: 0.172
Space-group type: P6_3/mmc (194)
Formation energy from the elements in eV per formula unit: 0.43


[3]
Material: LiCr2GaN
Method: DFT, PBE
State: relaxed

```
LiCr2GaN
1.0
3.844 0.000 0.000
0.000 3.844 0.000
0.000 0.000 3.917
Li Cr Ga N
1 2 1 1
Direct
0.000 0.000 0.000
0.000 0.500 0.500
0.500 0.000 0.500
0.500 0.500 0.000
0.000 0.000 0.500
```

ΔE_f (raw) in meV/atom: -323
ΔE to the lowest computed polymorph in eV per atom: 0.000
Space-group type: P4/mmm (123)


[4]
Material: YPSe
Method: DFT, PBE
State: relaxed

```
YPSe
1.0
6.575 0.000 0.000
0.000 6.575 0.000
0.000 0.000 6.575
Y P Se
4 4 4
Direct
0.000 0.000 0.000
0.000 0.500 0.500
0.500 0.000 0.500
0.500 0.500 0.000
0.250 0.250 0.250
0.250 0.750 0.750
0.750 0.250 0.750
0.750 0.750 0.250
0.000 0.000 0.500
0.000 0.500 0.000
0.500 0.000 0.000
0.500 0.500 0.500
```

ΔE_f (raw) in meV/atom: -566
Space-group type: F-43m (216)


[5]
Material: TaNb6W4
Method: DFT, PBE
State: relaxed

```
TaNb6W4
1.0
-3.205 3.205 5.384
3.205 -3.205 5.384
3.205 3.205 -5.384
Ta Nb W
1 6 4
Direct
0.000 0.000 0.000
0.000 0.500 0.500
0.099 0.489 0.000
0.489 0.099 0.000
0.500 0.000 0.500
0.511 0.511 0.609
0.901 0.901 0.391
0.249 0.249 0.669
0.420 0.751 0.000
0.580 0.580 0.331
0.751 0.420 0.000
```

Space-group type: I-42m (121)
Formation energy from the elements in eV per formula unit: 8.77


[6]
Material: La3TmTl3
Method: DFT, PBE
State: relaxed

```
La3TmTl3
1.0
9.672 0.000 0.000
0.000 9.672 0.000
0.000 0.000 9.672
La Tm Tl
12 4 12
Direct
0.067 0.433 0.567
0.168 0.832 0.332
0.177 0.177 0.177
0.323 0.823 0.677
0.332 0.168 0.832
0.433 0.567 0.067
0.567 0.067 0.433
0.668 0.668 0.668
0.677 0.323 0.823
0.823 0.677 0.323
0.832 0.332 0.168
0.933 0.933 0.933
0.077 0.577 0.923
0.423 0.423 0.423
0.577 0.923 0.077
0.923 0.077 0.577
0.005 0.260 0.865
0.135 0.505 0.240
0.240 0.135 0.505
0.260 0.865 0.005
0.365 0.495 0.740
0.495 0.740 0.365
0.505 0.240 0.135
0.635 0.995 0.760
0.740 0.365 0.495
0.760 0.635 0.995
0.865 0.005 0.260
0.995 0.760 0.635
```

ΔE to the lowest computed polymorph in eV per atom: 0.000
Space-group type: P2_13 (198)
Formation energy from the elements in eV per formula unit: -2.03


[7]
Material: CaBeAl2Tc
Method: DFT, PBE
State: relaxed

```
CaBeAl2Tc
1.0
4.347 0.000 0.000
0.000 4.347 0.000
0.000 0.000 4.946
Ca Be Al Tc
1 1 2 1
Direct
0.000 0.000 0.000
0.000 0.000 0.500
0.000 0.500 0.500
0.500 0.000 0.500
0.500 0.500 0.000
```

Space-group type: P4/mmm (123)
Formation energy from the elements in eV per formula unit: 3.66


| no. | total magnetic moment (Bohr magnetons per cell) | Fermi-level density of states (states/eV/cell) |
| --- | --- | --- |
| 1 | 0.00 | 6.5 |
| 2 | 0.00 | 9.1 |
| 3 | 3.32 | 4.2 |
| 4 | 0.00 | 4.6 |
| 5 | 0.00 | 12.3 |
| 6 | 0.00 | 28.4 |
| 7 | 2.28 | 4.0 |